[1]
The following is a PBE calculation of a geometry-optimized Na2TlAsO4 structure, from Alexandria.

Lattice parameters (Å, degrees): 6.476 6.476 6.404 90.00 90.00 90.00
Space group I-4 (No. 82)
Asymmetric unit:
Na (0.000, 0.000, 0.000)
Na (0.000, 0.500, 0.250)
Tl (0.000, 0.500, 0.750)
As (0.000, 0.000, 0.500)
O (0.123, 0.176, 0.338)

Results
Crystal system: tetragonal

[2]
The following is a PBE calculation of a geometry-optimized SrFeSi2 structure, from Alexandria.

Lattice parameters (Å, degrees): 3.9508 3.9508 16.7491 90.00 90.00 120.00
Space group R-3m (No. 166, hexagonal axes)
Asymmetric unit:
Sr (0.0000, 0.0000, 0.0000)
Fe (0.0000, 0.0000, 0.5000)
Si (0.0000, 0.0000, 0.1995)

Results
Crystal system: trigonal

[3]
The following is a PBE calculation of a geometry-optimized LuThCoPd structure, from Alexandria.

Lattice parameters (Å, degrees): 6.953 6.953 6.953 90.00 90.00 90.00
Space group F-43m (No. 216)
Asymmetric unit:
Lu (0.000, 0.000, 0.000)
Th (0.000, 0.000, 0.500)
Co (0.250, 0.250, 0.250)
Pd (0.250, 0.250, 0.750)

Results
Crystal system: cubic
Energy of formation in meV per atom: -459.8

| no. | M_tot (μB/atom) | total energy (eV per atom) |
| --- | --- | --- |
| 1 | 0.000 | -5.0853 |
| 2 | 0.000 | -5.6190 |
| 3 | 0.121 | -6.5197 |